Below is Ca2CeScBi4 after structural relaxation, with properties calculated at the PBE level.

Lattice parameters (Å, degrees): 4.5534 7.7507 7.8753 109.78 90.00 90.00
Atoms (fractional coordinates):
Ca: 0.5000 0.0000 0.5000
Ca: 0.0000 0.5000 0.5000
Ce: 0.0000 0.0000 0.0000
Sc: 0.5000 0.5000 0.0000
Bi: 0.5000 0.2551 0.2350
Bi: 0.5000 0.7449 0.7650
Bi: 0.0000 0.2671 0.7718
Bi: 0.0000 0.7329 0.2282

Results
Crystal system = monoclinic
Symmetry = P2/m
E = -37.395 eV/cell
Energy of formation = -700 meV/atom

=====

Below is Ca2CeSmBi4 after structural relaxation, with properties calculated at the PBE level.

Lattice parameters (Å, degrees): 4.6150 8.0016 7.8919 109.83 90.00 90.00
Atoms (fractional coordinates):
Ca: 0.5000 0.0000 0.5000
Ca: 0.0000 0.5000 0.5000
Ce: 0.0000 0.0000 0.0000
Sm: 0.5000 0.5000 0.0000
Bi: 0.5000 0.2445 0.2401
Bi: 0.5000 0.7555 0.7599
Bi: 0.0000 0.2506 0.7575
Bi: 0.0000 0.7494 0.2425

Results
Crystal system = monoclinic
Symmetry = P2/m
E = -36.334 eV/cell
Energy of formation = -769 meV/atom